1.
Entry from Alexandria: an optimized crystal structure of NpH7Rh2Au (PBE).

Computed properties:
energy: -5.012 eV/atom

abc: 3.511 3.511 9.040
angles: 101.20 101.20 90.00
Each line ends with the local moment (μB).
Fractional positions:
Rh (0.111, 0.111, 0.221)  -0.01
H (0.215, 0.215, 0.429)  0.00
Au (0.250, 0.750, 0.500)  -0.01
H (0.604, 0.104, 0.207)  -0.01
Np (0.500, 0.500, 0.000)  3.81
H (0.097, 0.597, 0.193)  -0.01
Rh (0.889, 0.889, 0.779)  -0.01
H (0.785, 0.785, 0.571)  0.00
H (0.000, 0.000, 0.000)  -0.01
H (0.403, 0.903, 0.807)  -0.01
H (0.896, 0.396, 0.793)  -0.01

***

2.
Entry from Alexandria: an optimized crystal structure of H2AuO (PBE).

Computed properties:
energy: -2.775 eV/atom

abc: 3.586 3.586 3.586
angles: 60.00 60.00 60.00
Fractional positions:
Au (0.500, 0.500, 0.500)
O (0.000, 0.000, 0.000)
H (0.750, 0.750, 0.750)
H (0.250, 0.250, 0.250)

***

3.
Entry from Alexandria: an optimized crystal structure of HAuO3 (PBE).

Computed properties:
energy: -3.109 eV/atom

abc: 3.995 3.995 3.995
angles: 90.00 90.00 90.00
Each line ends with the local moment (μB).
Fractional positions:
O (0.500, 0.000, 0.000)  -0.84
Au (0.000, 0.000, 0.000)  -0.32
O (0.000, 0.500, 0.000)  -0.41
O (0.000, 0.000, 0.500)  -0.12
H (0.500, 0.500, 0.500)  0.29

***

4.
Entry from Alexandria: an optimized crystal structure of HAu2O (PBE).

Computed properties:
energy: -2.939 eV/atom

abc: 4.115 4.115 4.115
angles: 60.00 60.00 60.00
Fractional positions:
Au (0.250, 0.250, 0.250)
Au (0.750, 0.750, 0.750)
H (0.000, 0.000, 0.000)
O (0.500, 0.500, 0.500)